# ZnP2I2

A geometry-optimized ZnP2I2 structure (PBE, Alexandria via LeMat-Bulk).

POSCAR file:
```
ZnP2I2
1.0
7.519 0.000 0.000
0.000 7.519 0.000
0.000 0.000 9.009
Zn P I
2 4 4
direct
0.000 0.000 0.000 Zn
0.500 0.500 0.000 Zn
0.089 0.411 0.500 P
0.411 0.911 0.500 P
0.589 0.089 0.500 P
0.911 0.589 0.500 P
0.186 0.686 0.000 I
0.314 0.186 0.000 I
0.686 0.814 0.000 I
0.814 0.314 0.000 I
```

Properties
uncorrected energy = -14.1 eV/f.u.
size of the total moment = 0.00 μB/cell
crystal system = tetragonal
ΔE_f (raw) = 0.21 eV/atom

---

# AlZnSbAs2

A geometry-optimized AlZnSbAs2 structure (PBE, Alexandria via LeMat-Bulk).

POSCAR file:
```
AlZnSbAs2
1.0
4.928 0.000 0.000
0.000 4.928 0.000
0.000 0.000 4.736
Al Zn Sb As
1 1 1 2
direct
0.000 0.000 0.000 Al
0.000 0.000 0.500 Zn
0.500 0.500 0.000 Sb
0.000 0.500 0.500 As
0.500 0.000 0.500 As
```

Properties
uncorrected energy = -15.7 eV/f.u.
size of the total moment = 0.00 μB/cell
crystal system = tetragonal
ΔE_f (raw) = 0.54 eV/atom

---

# Cs2RbZnAu

A geometry-optimized Cs2RbZnAu structure (PBE, Alexandria via LeMat-Bulk).

POSCAR file:
```
Cs2RbZnAu
1.0
6.947 0.000 0.000
0.000 6.947 0.000
0.000 0.000 6.727
Cs Rb Zn Au
2 1 1 1
direct
0.000 0.500 0.000 Cs
0.500 0.000 0.000 Cs
0.000 0.000 0.500 Rb
0.500 0.500 0.500 Zn
0.000 0.000 0.000 Au
```

Properties
uncorrected energy = -7.0 eV/f.u.
size of the total moment = 0.61 μB/cell
crystal system = tetragonal

---

N(E_F) (states/eV/atom)
0.000; 0.530; 1.297